A relaxed Sm2Y4HoSc crystal. Source: Alexandria via LeMat-Bulk, functional PBE.

Calculated values
- uncorrected energy (eV per atom) = -5.740
- ΔH_f (0 K) (eV/atom) = 0.036

abc: 5.017 5.017 9.986
angles: 90.00 90.00 90.00
Space group P4/mmm (No. 123)
Asymmetric unit:
Sm 0.000 0.000 0.000 x1
Sm 0.500 0.500 0.500 x1
Y 0.000 0.500 0.245 x4
Ho 0.000 0.000 0.500 x1
Sc 0.500 0.500 0.000 x1